Entry 1
PBE Li2MnPd6, relaxed; crystal system = monoclinic; magnetization = 4.973 μB/f.u.
1.0
-3.119 -3.813 -0.438
-0.387 1.843 -7.626
5.975 -4.510 2.380
Li Mn Pd
4 2 12
Cartesian
3.141 -4.419 -3.347
-1.207 -4.990 -0.945
-0.672 -2.061 -2.336
3.677 -1.490 -4.738
3.605 -3.875 -0.231
-1.135 -2.605 -5.453
1.088 -2.956 -4.156
-1.294 -4.315 -3.504
1.382 -3.523 -1.528
3.764 -2.165 -2.180
1.432 -1.098 -6.131
-0.586 -0.297 -4.339
1.037 -5.381 0.447
3.056 -6.182 -1.345
-3.358 -2.254 -6.751
-0.978 -0.895 -7.402
5.827 -4.226 1.068
3.447 -5.585 1.718

=====

Entry 2
PBE Li2MnPd6, relaxed; crystal system = monoclinic; magnetization = 4.240 μB/f.u.
1.0
4.079 0.000 -0.163
0.000 5.764 0.000
-1.818 -2.882 6.154
Li Mn Pd
2 1 6
Cartesian
2.112 2.882 1.966
0.149 0.000 4.025
0.000 0.000 0.000
0.073 1.468 2.046
2.188 -1.414 3.945
2.188 1.414 3.945
2.040 1.485 -0.082
0.073 4.296 2.046
2.040 4.278 -0.082

=====

Energies, relative to the best one, in eV/atom: entry 1 0.000; entry 2 0.248.